[1]
The following is a GGA-PBE calculation of a relaxed structure of NdScIr4, from Alexandria.

Cell: 5.3455 5.3455 5.3455 Å, 60.00 60.00 60.00°
Last column: nearest neighbours and their distance in Å.
Fractional coordinates of all 6 atoms:
1 Nd 0.0000 0.0000 0.0000  12 Ir 3.13, 4 Sc 3.27
2 Ir 0.1262 0.6246 0.6246  6 Ir 2.66-2.68
3 Ir 0.6246 0.1262 0.6246  6 Ir 2.66-2.68
4 Ir 0.6246 0.6246 0.6246  6 Ir 2.66-2.68
5 Ir 0.6246 0.6246 0.1262  6 Ir 2.66-2.68
6 Sc 0.2500 0.2500 0.2500  12 Ir 3.13, 4 Nd 3.27

uncorrected energy	-50.69	eV per cell
DOS(E_F)	0.893	states/eV per atom
energy of formation from the pure elements	-0.691	eV per atom
magnetization	0.00	μB per atom
space group	F-43m (216)

[2]
The following is a GGA-PBE calculation of a relaxed structure of NdScIr, from Alexandria.

Cell: 7.2849 8.5680 8.5680 Å, 63.41 64.84 64.84°
Last column: nearest neighbours and their distance in Å.
Fractional coordinates of all 18 atoms:
1 Sc 0.5021 0.1257 0.1253  4 Ir 2.78-2.90
2 Sc 0.5021 0.6253 0.6257  4 Ir 2.78-2.90
3 Sc 0.7531 0.3747 0.3743  4 Ir 2.78-2.90
4 Sc 0.7531 0.8743 0.8747  4 Ir 2.78-2.90
5 Sc 0.0044 0.5000 0.5000  4 Ir 2.78-2.90
6 Sc 0.0044 0.0000 0.0000  4 Ir 2.78-2.90
7 Nd 0.3386 0.2498 0.7498  5 Ir 3.02-3.14, 2 Sc 3.31
8 Nd 0.7530 0.9576 0.4576  5 Ir 3.02-3.14, 2 Sc 3.32
9 Nd 0.3383 0.7502 0.2502  5 Ir 3.02-3.14, 2 Sc 3.31
10 Nd 0.1682 0.0424 0.5424  5 Ir 3.02-3.14, 2 Sc 3.32
11 Nd 0.1686 0.5426 0.0425  5 Ir 3.03-3.14, 2 Sc 3.31
12 Nd 0.7537 0.4574 0.9575  5 Ir 3.03-3.14, 2 Sc 3.31
13 Ir 0.4199 0.8332 0.8334  3 Sc 2.78
14 Ir 0.7534 0.7501 0.2501  6 Sc 2.90, 3 Nd 3.02-3.03
15 Ir 0.0866 0.6666 0.6668  3 Sc 2.78
16 Ir 0.4199 0.3334 0.3332  3 Sc 2.78
17 Ir 0.0866 0.1668 0.1666  3 Sc 2.78
18 Ir 0.7535 0.2499 0.7499  6 Sc 2.90, 3 Nd 3.02-3.03

energy above the lowest structure with this stoichiometry	0.006	eV per atom
uncorrected energy	-131.91	eV per cell
DOS(E_F)	1.129	states/eV per atom
energy of formation from the pure elements	-0.675	eV per atom
magnetization	0.00	μB per atom
space group	P-62m (189)

What is the magnetization in the first record?
0.00 μB per atom